No. 1
The following is a PBE-GGA calculation of a relaxed structure of AcErPdAu, from Alexandria.

Cell: 5.2481 5.2481 5.2481 Å, 60.00 60.00 60.00°
Last column: nearest neighbours and their distance in Å.
Element x y z (fractional)
Ac 0.0000 0.0000 0.0000  4 Pd 3.21, 4 Au 3.21
Er 0.5000 0.5000 0.5000  4 Pd 3.21, 4 Au 3.21
Pd 0.2500 0.2500 0.2500  4 Ac 3.21, 4 Er 3.21
Au 0.7500 0.7500 0.7500  4 Er 3.21, 4 Ac 3.21

Results
crystal system: cubic
N(E_F): 3.18 states/eV/f.u.
formation enthalpy at 0 K: -0.7365 eV per atom
total DFT energy (no corrections): -5.022 eV/atom
V: 25.55 A^3/atom

=====

No. 2
The following is a PBE-GGA calculation of a relaxed structure of LiTlAgF5, from Alexandria.

Cell: 6.0075 6.0075 8.1219 Å, 102.75 102.75 109.20°
Last column: nearest neighbours and their distance in Å.
Element x y z (fractional)
Li 0.1883 0.8117 0.7500  4 F 1.90-1.91
Li 0.8117 0.1883 0.2500  4 F 1.90-1.91
Tl 0.5000 0.5000 0.0000  6 F 2.17-2.25
Tl 0.5000 0.5000 0.5000  6 F 2.17-2.25
Ag 0.1467 0.8533 0.2500  5 F 2.42-2.55
Ag 0.8533 0.1467 0.7500  5 F 2.42-2.55
F 0.1141 0.2437 0.4225  1 Li 1.91
F 0.1804 0.5609 0.8596  1 Li 1.90
F 0.2437 0.1141 0.9225  1 Li 1.91
F 0.4002 0.5998 0.2500  2 Tl 2.25, 1 Ag 2.48
F 0.4391 0.8196 0.6404  1 Li 1.90
F 0.5609 0.1804 0.3596  1 Li 1.90
F 0.5998 0.4002 0.7500  2 Tl 2.25, 1 Ag 2.48
F 0.7563 0.8859 0.0775  1 Li 1.91
F 0.8196 0.4391 0.1404  1 Li 1.90
F 0.8859 0.7563 0.5775  1 Li 1.91

Results
crystal system: monoclinic
total DFT energy (no corrections): -3.966 eV/atom
V: 16.00 A^3/atom
energy relative to the elements, uncorrected: -1.9047 eV/atom

=====

No. 3
The following is a PBE-GGA calculation of a relaxed structure of Cs2TlAu2Cl6, from Alexandria.

Cell: 8.2524 8.2524 8.2216 Å, 118.76 118.76 55.76°
Last column: nearest neighbours and their distance in Å.
Element x y z (fractional)
Cs 0.2315 0.2315 0.2095  7 Cl 3.59-3.95, 1 Au 3.99
Cs 0.7685 0.7685 0.7905  7 Cl 3.59-3.95, 1 Au 3.99
Tl 0.0000 0.0000 0.5000  6 Cl 2.91-3.05
Au 0.4348 0.4348 0.7852  3 Cl 2.39-2.49
Au 0.5652 0.5652 0.2148  3 Cl 2.39-2.49
Cl 0.2093 0.6863 0.2073  1 Au 2.49
Cl 0.2457 0.2457 0.6734  1 Au 2.39
Cl 0.3137 0.7907 0.7927  1 Au 2.49
Cl 0.6863 0.2093 0.2073  1 Au 2.49
Cl 0.7543 0.7543 0.3266  1 Au 2.39
Cl 0.7907 0.3137 0.7927  1 Au 2.49

Results
crystal system: monoclinic
N(E_F): 3.55 states/eV/f.u.
total DFT energy (no corrections): -2.934 eV/atom
V: 35.30 A^3/atom
energy relative to the elements, uncorrected: -0.9607 eV/atom

=====

No. 4
The following is a PBE-GGA calculation of a relaxed structure of PdW2I2, from Alexandria.

Cell: 5.5046 5.5046 5.5046 Å, 121.60 121.60 87.25°
Last column: nearest neighbours and their distance in Å.
Element x y z (fractional)
Pd 0.0000 0.0000 0.0000  2 W 2.82
W 0.3544 0.3544 0.0000  1 W 2.32
W 0.6456 0.6456 0.0000  1 W 2.32
I 0.2500 0.7500 0.5000  4 W 2.81
I 0.7500 0.2500 0.5000  4 W 2.81

Results
crystal system: tetragonal
N(E_F): 5.95 states/eV/f.u.
total DFT energy (no corrections): -5.577 eV/atom
V: 22.99 A^3/atom
energy relative to the elements, uncorrected: 1.2627 eV/atom